# SCAN MgPtN2F, single point on PBEsol structure
data_MgPtN2F
_chemical_formula_sum 'Mg1 Pt1 N2 F1'
_cell_length_a 3.699
_cell_length_b 3.699
_cell_length_c 5.337
_cell_angle_alpha 90.00
_cell_angle_beta 90.00
_cell_angle_gamma 90.00
_space_group_name_H-M_alt 'P 4/m m m'
_space_group_IT_number 123
_space_group_name_Hall '-P 4 2'
loop_
_atom_site_label
_atom_site_type_symbol
_atom_site_fract_x
_atom_site_fract_y
_atom_site_fract_z
Mg1 Mg 0.000 0.000 0.000
Pt1 Pt 0.500 0.500 0.500
N1 N 0.000 0.500 0.500
F1 F 0.500 0.500 0.000
# raw formation energy: 22.08 kJ/mol of atoms
# ΔE to the lowest computed polymorph: 0 meV/atom